[1]
Density functional theory data (PBE) for crystalline K2ErBiTe4 at its relaxed geometry.

Structure (CIF):
```
data_K2ErBiTe4
_cell_length_a 7.908
_cell_length_b 4.511
_cell_length_c 8.651
_cell_angle_alpha 90.00
_cell_angle_beta 107.28
_cell_angle_gamma 90.00
_space_group_name_H-M_alt 'P 1 2/m 1'
_space_group_IT_number 10
loop_
_space_group_symop_operation_xyz
'x,y,z'
'-x,-y,-z'
'-x,y,-z'
'x,-y,z'
loop_
_atom_site_label
_atom_site_type_symbol
_atom_site_fract_x
_atom_site_fract_y
_atom_site_fract_z
K1 K 0.000 0.000 0.000
K2 K 0.500 0.500 0.000
Er1 Er 0.000 0.500 0.500
Bi1 Bi 0.500 0.000 0.500
Te1 Te 0.229 0.000 0.707
Te2 Te 0.256 0.500 0.290
```

Results
Uncorrected formation energy = -1.000 eV per atom


[2]
Density functional theory data (PBE) for crystalline Hg12Pt3I5 at its relaxed geometry.

Structure (CIF):
```
data_Hg12Pt3I5
_cell_length_a 17.475
_cell_length_b 17.475
_cell_length_c 17.475
_cell_angle_alpha 90.00
_cell_angle_beta 90.00
_cell_angle_gamma 90.00
_space_group_name_H-M_alt 'I a -3 d'
_space_group_IT_number 230
_space_group_name_Hall '-I 4bd 2c 3'
loop_
_atom_site_label
_atom_site_type_symbol
_atom_site_fract_x
_atom_site_fract_y
_atom_site_fract_z
Hg1 Hg 0.017 0.100 0.652
Pt1 Pt 0.000 0.250 0.125
I1 I 0.000 0.000 0.000
I2 I 0.000 0.250 0.375
```

Results
Uncorrected formation energy = 0.053 eV per atom


[3]
Density functional theory data (PBE) for crystalline Ga3SiSb at its relaxed geometry.

Structure (CIF):
```
data_Ga3SiSb
_cell_length_a 5.285
_cell_length_b 5.285
_cell_length_c 5.285
_cell_angle_alpha 90.00
_cell_angle_beta 90.00
_cell_angle_gamma 90.00
_space_group_name_H-M_alt 'P m -3 m'
_space_group_IT_number 221
_space_group_name_Hall '-P 4 2 3'
loop_
_atom_site_label
_atom_site_type_symbol
_atom_site_fract_x
_atom_site_fract_y
_atom_site_fract_z
Ga1 Ga 0.000 0.000 0.500
Si1 Si 0.500 0.500 0.500
Sb1 Sb 0.000 0.000 0.000
```

Results
E above lowest polymorph = 3.27 eV/f.u.
Uncorrected formation energy = 0.917 eV per atom


[4]
Density functional theory data (PBE) for crystalline CdAg3C at its relaxed geometry.

Structure (CIF):
```
data_CdAg3C
_cell_length_a 5.218
_cell_length_b 5.218
_cell_length_c 5.218
_cell_angle_alpha 90.00
_cell_angle_beta 90.00
_cell_angle_gamma 90.00
_space_group_name_H-M_alt 'P m -3 m'
_space_group_IT_number 221
_space_group_name_Hall '-P 4 2 3'
loop_
_atom_site_label
_atom_site_type_symbol
_atom_site_fract_x
_atom_site_fract_y
_atom_site_fract_z
Cd1 Cd 0.000 0.000 0.000
Ag1 Ag 0.000 0.000 0.500
C1 C 0.500 0.500 0.500
```

Results
E above lowest polymorph = 6.48 eV/f.u.


[5]
Density functional theory data (PBE) for crystalline SmY2Ho2 at its relaxed geometry.

Structure (CIF):
```
data_SmY2Ho2
_cell_length_a 9.360
_cell_length_b 9.360
_cell_length_c 3.736
_cell_angle_alpha 90.00
_cell_angle_beta 90.00
_cell_angle_gamma 90.00
_space_group_name_H-M_alt 'P 4/m b m'
_space_group_IT_number 127
_space_group_name_Hall '-P 4 2ab'
loop_
_atom_site_label
_atom_site_type_symbol
_atom_site_fract_x
_atom_site_fract_y
_atom_site_fract_z
Sm1 Sm 0.000 0.000 0.000
Y1 Y 0.172 0.328 0.500
Ho1 Ho 0.125 0.625 0.000
```

Results
E above lowest polymorph = 0.00 eV/f.u.


[6]
Density functional theory data (PBE) for crystalline CuGe2Pb2 at its relaxed geometry.

Structure (CIF):
```
data_CuGe2Pb2
_cell_length_a 6.478
_cell_length_b 6.478
_cell_length_c 5.555
_cell_angle_alpha 90.00
_cell_angle_beta 90.00
_cell_angle_gamma 90.00
_space_group_name_H-M_alt 'P 4/m b m'
_space_group_IT_number 127
_space_group_name_Hall '-P 4 2ab'
loop_
_atom_site_label
_atom_site_type_symbol
_atom_site_fract_x
_atom_site_fract_y
_atom_site_fract_z
Cu1 Cu 0.000 0.000 0.000
Ge1 Ge 0.143 0.357 0.000
Pb1 Pb 0.183 0.683 0.500
```

Results
E above lowest polymorph = 0.00 eV/f.u.


[7]
Density functional theory data (PBE) for crystalline Pr2Nd2Tl5 at its relaxed geometry.

Structure (CIF):
```
data_Pr2Nd2Tl5
_cell_length_a 15.928
_cell_length_b 9.843
_cell_length_c 7.396
_cell_angle_alpha 90.00
_cell_angle_beta 90.00
_cell_angle_gamma 90.00
_space_group_name_H-M_alt 'I m a 2'
_space_group_IT_number 46
loop_
_space_group_symop_operation_xyz
'x,y,z'
'-x,-y,z'
'-x+1/2,y,z'
'x+1/2,-y,z'
'x+1/2,y+1/2,z+1/2'
'-x+1/2,-y+1/2,z+1/2'
'-x,y+1/2,z+1/2'
'x,-y+1/2,z+1/2'
loop_
_atom_site_label
_atom_site_type_symbol
_atom_site_fract_x
_atom_site_fract_y
_atom_site_fract_z
Pr1 Pr 0.000 0.000 0.000
Pr2 Pr 0.250 0.027 0.001
Nd1 Nd 0.131 0.520 0.001
Tl1 Tl 0.051 0.750 0.250
Tl2 Tl 0.146 0.250 0.251
Tl3 Tl 0.250 0.750 0.251
```

Results
Calculated total energy = -3.64 eV per atom


[8]
Density functional theory data (PBE) for crystalline Ba3Zn4Au2 at its relaxed geometry.

Structure (CIF):
```
data_Ba3Zn4Au2
_cell_length_a 12.188
_cell_length_b 4.702
_cell_length_c 9.258
_cell_angle_alpha 90.00
_cell_angle_beta 102.91
_cell_angle_gamma 90.00
_space_group_name_H-M_alt 'C 1 2/m 1'
_space_group_IT_number 12
loop_
_space_group_symop_operation_xyz
'x,y,z'
'-x,-y,-z'
'-x,y,-z'
'x,-y,z'
'x+1/2,y+1/2,z'
'-x+1/2,-y+1/2,-z'
'-x+1/2,y+1/2,-z'
'x+1/2,-y+1/2,z'
loop_
_atom_site_label
_atom_site_type_symbol
_atom_site_fract_x
_atom_site_fract_y
_atom_site_fract_z
Ba1 Ba 0.000 0.000 0.000
Ba2 Ba 0.168 0.500 0.664
Zn1 Zn 0.052 0.000 0.386
Zn2 Zn 0.225 0.500 0.054
Au1 Au 0.111 0.500 0.276
```

Results
Calculated total energy = -2.36 eV per atom


[9]
Density functional theory data (PBE) for crystalline PmNd8Er6 at its relaxed geometry.

Structure (CIF):
```
data_PmNd8Er6
_cell_length_a 9.2840
_cell_length_b 9.2840
_cell_length_c 20.3523
_cell_angle_alpha 90.00
_cell_angle_beta 90.00
_cell_angle_gamma 120.00
_space_group_name_H-M_alt 'R -3'
_space_group_IT_number 148
_space_group_name_Hall '-R 3'
loop_
_atom_site_label
_atom_site_type_symbol
_atom_site_fract_x
_atom_site_fract_y
_atom_site_fract_z
Pm1 Pm 0.0000 0.0000 0.0000
Nd1 Nd 0.0000 0.0000 0.4266
Nd2 Nd 0.0679 0.2445 0.1590
Er1 Er 0.0464 0.2454 0.6931
```

Results
E above lowest polymorph = 0.00 eV/f.u.


[10]
Density functional theory data (PBE) for crystalline CsAlI at its relaxed geometry.

Structure (CIF):
```
data_CsAlI
_cell_length_a 4.837
_cell_length_b 6.081
_cell_length_c 9.999
_cell_angle_alpha 73.07
_cell_angle_beta 88.53
_cell_angle_gamma 89.96
_space_group_name_H-M_alt 'P -1'
_space_group_IT_number 2
loop_
_space_group_symop_operation_xyz
'x,y,z'
'-x,-y,-z'
loop_
_atom_site_label
_atom_site_type_symbol
_atom_site_fract_x
_atom_site_fract_y
_atom_site_fract_z
Cs1 Cs 0.234 0.361 0.254
Al1 Al 0.252 0.965 0.966
I1 I 0.270 0.176 0.674
```

Results
E above lowest polymorph = 0.06 eV/f.u.
Uncorrected formation energy = -0.583 eV per atom